VASP calculation (PBE-GGA) on crystalline LaNdTlGa at its relaxed geometry.

Cell: 5.4497 5.4497 5.4497 Å, 60.00 60.00 60.00°
Element x y z (fractional)
Nd  0.0000  0.0000  0.0000
La  0.5000  0.5000  0.5000
Ga  0.2500  0.2500  0.2500
Tl  0.7500  0.7500  0.7500

The magnetization comes out at 0.0 μB per formula unit. As for the final energy: -4.226 eV/atom. As for the energy above the lowest structure with this stoichiometry: 0.030 eV/atom.

VASP calculation (PBE-GGA) on crystalline KRb2NaPb at its relaxed geometry.

Cell: 7.2436 7.2436 6.2318 Å, 90.00 90.00 90.00°
Element x y z (fractional)
Na  0.0000  0.0000  0.5000
Rb  0.0000  0.5000  0.0000
Rb  0.5000  0.0000  0.0000
Pb  0.0000  0.0000  0.0000
K  0.5000  0.5000  0.5000

The magnetization comes out at 0.0 μB per formula unit. As for the final energy: -1.555 eV/atom.

Which of these has the lowest final energy? LaNdTlGa